[1]
RbAg2Pt: optimized geometry, PBE.

Cell: 5.396 5.396 18.408 Å, 90.00 90.00 90.00°
Atoms (fractional coordinates):
Rb1 0.000 0.000 0.000
Rb2 0.000 0.500 0.250
Rb3 0.500 0.000 0.750
Rb4 0.500 0.500 0.500
Ag1 0.001 0.250 0.625
Ag2 0.250 0.501 0.875
Ag3 0.250 0.999 0.375
Ag4 0.499 0.250 0.125
Ag5 0.501 0.750 0.125
Ag6 0.750 0.001 0.375
Ag7 0.750 0.499 0.875
Ag8 0.999 0.750 0.625
Pt1 0.000 0.000 0.500
Pt2 0.000 0.500 0.750
Pt3 0.500 0.000 0.250
Pt4 0.500 0.500 0.000

Summary:
Density of states at the Fermi level in states/eV per cell: 3.7
Space-group type: I-42d
E_form in eV per formula unit: 0.96



[2]
InCu2Pt2: optimized geometry, PBE.

Cell: 7.289 7.289 2.990 Å, 90.00 90.00 90.00°
Atoms (fractional coordinates):
In1 0.000 0.000 0.000
In2 0.500 0.500 0.000
Cu1 0.158 0.342 0.500
Cu2 0.342 0.842 0.500
Cu3 0.658 0.158 0.500
Cu4 0.842 0.658 0.500
Pt1 0.138 0.638 0.000
Pt2 0.362 0.138 0.000
Pt3 0.638 0.862 0.000
Pt4 0.862 0.362 0.000

Summary:
Density of states at the Fermi level in states/eV per cell: 3.8
Space-group type: P4/mbm
E_form in eV per formula unit: -0.74



[3]
NaBMoS2: optimized geometry, PBE.

Cell: 4.755 4.755 4.277 Å, 90.00 90.00 90.00°
Atoms (fractional coordinates):
Na1 0.000 0.000 0.000
B1 0.500 0.500 0.000
Mo1 0.500 0.500 0.500
S1 0.000 0.500 0.500
S2 0.500 0.000 0.500

Summary:
Density of states at the Fermi level in states/eV per cell: 2.2
Space-group type: P4/mmm
Uncorrected energy in Ry per atom: -0.39382



[4]
La7Pm2Ho: optimized geometry, PBE.

Cell: 10.515 10.515 3.576 Å, 90.00 90.00 109.23°
Atoms (fractional coordinates):
La1 0.000 0.000 0.000
La2 0.118 0.374 0.000
La3 0.181 0.819 0.500
La4 0.374 0.118 0.000
La5 0.626 0.882 0.000
La6 0.819 0.181 0.500
La7 0.882 0.626 0.000
Pm1 0.333 0.667 0.000
Pm2 0.667 0.333 0.000
Ho1 0.500 0.500 0.500

Summary:
Density of states at the Fermi level in states/eV per cell: 15.9
Space-group type: Cmmm
E_form in eV per formula unit: 3.16



[5]
Zn3TePd: optimized geometry, PBE.

Cell: 4.843 4.843 4.843 Å, 90.00 90.00 90.00°
Atoms (fractional coordinates):
Zn1 0.000 0.000 0.500
Zn2 0.000 0.500 0.000
Zn3 0.500 0.000 0.000
Te1 0.500 0.500 0.500
Pd1 0.000 0.000 0.000

Summary:
Density of states at the Fermi level in states/eV per cell: 2.6
Space-group type: Pm-3m
Uncorrected energy in Ry per atom: -0.17164



[6]
Tm12NiSn6: optimized geometry, PBE.

Cell: 8.476 8.476 8.476 Å, 99.56 99.56 99.56°
Atoms (fractional coordinates):
Tm1 0.012 0.691 0.945
Tm2 0.055 0.988 0.309
Tm3 0.198 0.422 0.554
Tm4 0.309 0.055 0.988
Tm5 0.422 0.554 0.198
Tm6 0.446 0.802 0.578
Tm7 0.554 0.198 0.422
Tm8 0.578 0.446 0.802
Tm9 0.691 0.945 0.012
Tm10 0.802 0.578 0.446
Tm11 0.945 0.012 0.691
Tm12 0.988 0.309 0.055
Ni1 0.000 0.000 0.000
Sn1 0.121 0.642 0.312
Sn2 0.312 0.121 0.642
Sn3 0.358 0.688 0.879
Sn4 0.642 0.312 0.121
Sn5 0.688 0.879 0.358
Sn6 0.879 0.358 0.688

Summary:
Density of states at the Fermi level in states/eV per cell: 15.6
Space-group type: R-3
E_form in eV per formula unit: -6.81